P5Rh after structural relaxation, computed with PBE.

Results
- spin magnetization (μB per formula unit) = 0.000
- ΔE_f (eV/atom) = 0.453
- offset from the most stable computed form (kJ/mol of formula units) = 225.4
- DFT total energy (eV/atom) = -5.28

a = 4.716 Å, b = 4.716 Å, c = 4.795 Å
α = 90.00°, β = 90.00°, γ = 120.00°
Positions (direct):
1 P 0.000 0.730 0.000
2 P 0.270 0.270 0.000
3 P 0.333 0.667 0.500
4 P 0.667 0.333 0.500
5 P 0.730 0.000 0.000
6 Rh 0.000 0.000 0.500